Record 1
# Al3FeNi (PBE-GGA, optimized geometry)
# Magnetization ... 0.00 μB per cell
# Formation energy ... 0.346 eV/atom
# SG ... No. 221
# Crystal system ... cubic
data_Al3FeNi
_chemical_formula_sum 'Al3 Fe1 Ni1'
_symmetry_space_group_name_H-M 'P 1'
_symmetry_Int_Tables_number 1
_cell_length_a 4.381
_cell_length_b 4.381
_cell_length_c 4.381
_cell_angle_alpha 90.00
_cell_angle_beta 90.00
_cell_angle_gamma 90.00
loop_
_symmetry_equiv_pos_as_xyz
'x,y,z'
loop_
_atom_site_label
_atom_site_type_symbol
_atom_site_fract_x
_atom_site_fract_y
_atom_site_fract_z
Ni1 Ni 0.500 0.500 0.500
Al1 Al 0.000 0.500 0.000
Al2 Al 0.000 0.000 0.500
Al3 Al 0.500 0.000 0.000
Fe1 Fe 0.000 0.000 0.000

Record 2
# GdInAgPt (PBE-GGA, optimized geometry)
# Magnetization ... 7.10 μB per cell
# Formation energy ... -0.627 eV/atom
# SG ... No. 216
# Crystal system ... cubic
data_GdInAgPt
_chemical_formula_sum 'Gd1 In1 Ag1 Pt1'
_symmetry_space_group_name_H-M 'P 1'
_symmetry_Int_Tables_number 1
_cell_length_a 4.908
_cell_length_b 4.908
_cell_length_c 4.908
_cell_angle_alpha 60.00
_cell_angle_beta 60.00
_cell_angle_gamma 60.00
loop_
_symmetry_equiv_pos_as_xyz
'x,y,z'
loop_
_atom_site_label
_atom_site_type_symbol
_atom_site_fract_x
_atom_site_fract_y
_atom_site_fract_z
In1 In 0.750 0.750 0.750
Pt1 Pt 0.000 0.000 0.000
Ag1 Ag 0.500 0.500 0.500
Gd1 Gd 0.250 0.250 0.250

Record 3
# Ti2ZnFeH (PBE-GGA, optimized geometry)
# Magnetization ... 0.79 μB per cell
# SG ... No. 123
# Crystal system ... tetragonal
data_Ti2ZnFeH
_chemical_formula_sum 'Ti2 Zn1 Fe1 H1'
_symmetry_space_group_name_H-M 'P 1'
_symmetry_Int_Tables_number 1
_cell_length_a 4.188
_cell_length_b 4.188
_cell_length_c 3.390
_cell_angle_alpha 90.00
_cell_angle_beta 90.00
_cell_angle_gamma 90.00
loop_
_symmetry_equiv_pos_as_xyz
'x,y,z'
loop_
_atom_site_label
_atom_site_type_symbol
_atom_site_fract_x
_atom_site_fract_y
_atom_site_fract_z
Zn1 Zn 0.500 0.500 0.500
Fe1 Fe 0.000 0.000 0.500
H1 H 0.000 0.000 0.000
Ti1 Ti 0.500 0.000 0.000
Ti2 Ti 0.000 0.500 0.000

Record 4
# Ac2Th3Sn4 (PBE-GGA, optimized geometry)
# Magnetization ... 0.00 μB per cell
# Formation energy ... -0.628 eV/atom
# SG ... No. 14
# Crystal system ... monoclinic
data_Ac2Th3Sn4
_chemical_formula_sum 'Ac4 Th6 Sn8'
_symmetry_space_group_name_H-M 'P 1'
_symmetry_Int_Tables_number 1
_cell_length_a 8.459
_cell_length_b 8.652
_cell_length_c 8.655
_cell_angle_alpha 90.00
_cell_angle_beta 90.00
_cell_angle_gamma 110.23
loop_
_symmetry_equiv_pos_as_xyz
'x,y,z'
loop_
_atom_site_label
_atom_site_type_symbol
_atom_site_fract_x
_atom_site_fract_y
_atom_site_fract_z
Th1 Th 0.254 0.750 0.173
Th2 Th 0.500 0.500 0.000
Th3 Th 0.746 0.250 0.827
Th4 Th 0.000 0.500 0.500
Th5 Th 0.754 0.750 0.327
Th6 Th 0.246 0.250 0.673
Sn1 Sn 0.852 0.085 0.535
Sn2 Sn 0.135 0.510 0.867
Sn3 Sn 0.865 0.490 0.133
Sn4 Sn 0.352 0.085 0.965
Sn5 Sn 0.648 0.915 0.035
Sn6 Sn 0.365 0.490 0.367
Sn7 Sn 0.635 0.510 0.633
Sn8 Sn 0.148 0.915 0.465
Ac1 Ac 0.064 0.191 0.174
Ac2 Ac 0.436 0.809 0.674
Ac3 Ac 0.564 0.191 0.326
Ac4 Ac 0.936 0.809 0.826

Record 5
# ScZnAgSn (PBE-GGA, optimized geometry)
# Magnetization ... 0.00 μB per cell
# Formation energy ... -0.223 eV/atom
# SG ... No. 216
# Crystal system ... cubic
data_ScZnAgSn
_chemical_formula_sum 'Sc1 Zn1 Ag1 Sn1'
_symmetry_space_group_name_H-M 'P 1'
_symmetry_Int_Tables_number 1
_cell_length_a 4.828
_cell_length_b 4.828
_cell_length_c 4.828
_cell_angle_alpha 60.00
_cell_angle_beta 60.00
_cell_angle_gamma 60.00
loop_
_symmetry_equiv_pos_as_xyz
'x,y,z'
loop_
_atom_site_label
_atom_site_type_symbol
_atom_site_fract_x
_atom_site_fract_y
_atom_site_fract_z
Sc1 Sc 0.000 0.000 0.000
Zn1 Zn 0.750 0.750 0.750
Ag1 Ag 0.500 0.500 0.500
Sn1 Sn 0.250 0.250 0.250

Record 6
# CsPt2Pb2 (PBE-GGA, optimized geometry)
# Magnetization ... 0.00 μB per cell
# Formation energy ... -0.255 eV/atom
# SG ... No. 12
# Crystal system ... monoclinic
data_CsPt2Pb2
_chemical_formula_sum 'Cs1 Pt2 Pb2'
_symmetry_space_group_name_H-M 'P 1'
_symmetry_Int_Tables_number 1
_cell_length_a 4.643
_cell_length_b 5.092
_cell_length_c 7.210
_cell_angle_alpha 103.23
_cell_angle_beta 108.78
_cell_angle_gamma 90.00
loop_
_symmetry_equiv_pos_as_xyz
'x,y,z'
loop_
_atom_site_label
_atom_site_type_symbol
_atom_site_fract_x
_atom_site_fract_y
_atom_site_fract_z
Pb1 Pb 0.343 0.413 0.685
Pb2 Pb 0.657 0.587 0.315
Pt1 Pt 0.246 0.843 0.493
Pt2 Pt 0.754 0.157 0.507
Cs1 Cs 0.000 0.000 0.000

Record 7
# Tb2HoTmS6 (PBE-GGA, optimized geometry)
# Magnetization ... 0.00 μB per cell
# Uncorrected formation energy ... -198.9 kJ/mol of atoms
# SG ... No. 146
# Crystal system ... trigonal
data_Tb2HoTmS6
_chemical_formula_sum 'Tb2 Ho1 Tm1 S6'
_symmetry_space_group_name_H-M 'P 1'
_symmetry_Int_Tables_number 1
_cell_length_a 6.896
_cell_length_b 6.896
_cell_length_c 7.330
_cell_angle_alpha 61.93
_cell_angle_beta 61.94
_cell_angle_gamma 59.99
loop_
_symmetry_equiv_pos_as_xyz
'x,y,z'
loop_
_atom_site_label
_atom_site_type_symbol
_atom_site_fract_x
_atom_site_fract_y
_atom_site_fract_z
S1 S 0.421 0.711 0.754
S2 S 0.712 0.113 0.754
S3 S 0.213 0.925 0.253
S4 S 0.925 0.609 0.253
S5 S 0.113 0.421 0.754
S6 S 0.609 0.213 0.253
Tm1 Tm 0.317 0.317 0.049
Tb1 Tb 0.017 0.018 0.948
Tb2 Tb 0.518 0.518 0.446
Ho1 Ho 0.816 0.816 0.551

Record 8
# TlCd4Sn (PBE-GGA, optimized geometry)
# Magnetization ... 0.00 μB per cell
# Formation energy ... 0.057 eV/atom
# SG ... No. 51
# Crystal system ... orthorhombic
data_TlCd4Sn
_chemical_formula_sum 'Tl2 Cd8 Sn2'
_symmetry_space_group_name_H-M 'P 1'
_symmetry_Int_Tables_number 1
_cell_length_a 4.717
_cell_length_b 7.537
_cell_length_c 8.960
_cell_angle_alpha 90.00
_cell_angle_beta 90.00
_cell_angle_gamma 90.00
loop_
_symmetry_equiv_pos_as_xyz
'x,y,z'
loop_
_atom_site_label
_atom_site_type_symbol
_atom_site_fract_x
_atom_site_fract_y
_atom_site_fract_z
Cd1 Cd 0.500 0.308 0.986
Cd2 Cd 0.000 0.000 0.500
Cd3 Cd 0.500 0.692 0.014
Cd4 Cd 0.500 0.031 0.250
Cd5 Cd 0.500 0.308 0.514
Cd6 Cd 0.500 0.969 0.750
Cd7 Cd 0.500 0.692 0.486
Cd8 Cd 0.000 0.000 0.000
Sn1 Sn 0.000 0.254 0.750
Sn2 Sn 0.000 0.746 0.250
Tl1 Tl 0.000 0.333 0.250
Tl2 Tl 0.000 0.667 0.750

The VASP energy results, record by record, are as follows: -4.7481; -7.0549; -6.0168; -5.7937; -3.8376; -4.3254; -6.3685; -1.6142 eV/atom.